## 1
# Cs2ZrGaI6 (GGA-PBE, relaxed)
data_Cs2ZrGaI6
_cell_length_a 12.267
_cell_length_b 12.267
_cell_length_c 12.267
_cell_angle_alpha 90.00
_cell_angle_beta 90.00
_cell_angle_gamma 90.00
_space_group_name_H-M_alt 'F m -3 m'
_space_group_IT_number 225
_space_group_name_Hall '-F 4 2 3'
loop_
_atom_site_label
_atom_site_type_symbol
_atom_site_fract_x
_atom_site_fract_y
_atom_site_fract_z
_atom_site_occupancy
Cs1 Cs 0.250 0.250 0.250 1
Zr1 Zr 0.000 0.000 0.000 1
Ga1 Ga 0.000 0.000 0.500 1
I1 I 0.000 0.000 0.239 1
# - calculated volume (Å³/cell) = 1846
# - DOS at the Fermi energy (states/eV per atom) = 0.9525



## 2
# Cs2ZrGaI6 (GGA-PBE, relaxed)
data_Cs2ZrGaI6
_cell_length_a 8.6083
_cell_length_b 8.6083
_cell_length_c 44.1107
_cell_angle_alpha 90.00
_cell_angle_beta 90.00
_cell_angle_gamma 120.00
_space_group_name_H-M_alt 'R -3 m'
_space_group_IT_number 166
_space_group_name_Hall '-R 3 2"'
loop_
_atom_site_label
_atom_site_type_symbol
_atom_site_fract_x
_atom_site_fract_y
_atom_site_fract_z
_atom_site_occupancy
Cs1 Cs 0.0000 0.0000 0.1232 1
Cs2 Cs 0.0000 0.0000 0.3001 1
Zr1 Zr 0.0000 0.0000 0.0000 1
Zr2 Zr 0.0000 0.0000 0.5000 1
Ga1 Ga 0.0000 0.0000 0.4206 1
I1 I 0.0011 0.5005 0.8699 1
I2 I 0.0144 0.5072 0.7053 1
# - calculated volume (Å³/cell) = 2831
# - DOS at the Fermi energy (states/eV per atom) = 0.4353



Which structure is the most stable? The one labeled 2.



## 1
# Cs2In5Ga3 (GGA-PBE, relaxed)
data_Cs2In5Ga3
_cell_length_a 4.979
_cell_length_b 4.979
_cell_length_c 12.339
_cell_angle_alpha 90.00
_cell_angle_beta 90.00
_cell_angle_gamma 90.00
_space_group_name_H-M_alt 'P -4 m 2'
_space_group_IT_number 115
_space_group_name_Hall 'P -4 -2'
loop_
_atom_site_label
_atom_site_type_symbol
_atom_site_fract_x
_atom_site_fract_y
_atom_site_fract_z
_atom_site_occupancy
Cs1 Cs 0.000 0.500 0.238 1
In1 In 0.000 0.000 0.500 1
In2 In 0.000 0.500 0.647 1
In3 In 0.500 0.500 0.000 1
In4 In 0.500 0.500 0.500 1
Ga1 Ga 0.000 0.000 0.000 1
Ga2 Ga 0.000 0.500 0.882 1
# - calculated volume (Å³/cell) = 306
# - DOS at the Fermi energy (states/eV per atom) = 0.5104



## 2
# Cs2In5Ga3 (GGA-PBE, relaxed)
data_Cs2In5Ga3
_cell_length_a 12.272
_cell_length_b 14.187
_cell_length_c 7.031
_cell_angle_alpha 90.00
_cell_angle_beta 90.00
_cell_angle_gamma 90.00
_space_group_name_H-M_alt 'I b a m'
_space_group_IT_number 72
_space_group_name_Hall '-I 2 2c'
loop_
_atom_site_label
_atom_site_type_symbol
_atom_site_fract_x
_atom_site_fract_y
_atom_site_fract_z
_atom_site_occupancy
Cs1 Cs 0.246 0.127 0.000 1
In1 In 0.000 0.260 0.250 1
In2 In 0.000 0.500 0.250 1
In3 In 0.130 0.118 0.500 1
Ga1 Ga 0.000 0.000 0.250 1
Ga2 Ga 0.133 0.379 0.000 1
# - calculated volume (Å³/cell) = 1224
# - DOS at the Fermi energy (states/eV per atom) = 0.4146



Which structure is the most stable? The one labeled 2.



## 1
# Cs2InGa (GGA-PBE, relaxed)
data_Cs2InGa
_cell_length_a 9.059
_cell_length_b 9.059
_cell_length_c 9.059
_cell_angle_alpha 90.00
_cell_angle_beta 90.00
_cell_angle_gamma 90.00
_space_group_name_H-M_alt 'F m -3 m'
_space_group_IT_number 225
_space_group_name_Hall '-F 4 2 3'
loop_
_atom_site_label
_atom_site_type_symbol
_atom_site_fract_x
_atom_site_fract_y
_atom_site_fract_z
_atom_site_occupancy
Cs1 Cs 0.250 0.250 0.250 1
In1 In 0.000 0.000 0.000 1
Ga1 Ga 0.000 0.000 0.500 1
# - calculated volume (Å³/cell) = 744
# - DOS at the Fermi energy (states/eV per atom) = 0.9477



## 2
# Cs2InGa (GGA-PBE, relaxed)
data_Cs2InGa
_cell_length_a 12.610
_cell_length_b 7.096
_cell_length_c 4.883
_cell_angle_alpha 90.00
_cell_angle_beta 112.40
_cell_angle_gamma 90.00
_space_group_name_H-M_alt 'C 1 2 1'
_space_group_IT_number 5
_space_group_name_Hall 'C 2y'
loop_
_atom_site_label
_atom_site_type_symbol
_atom_site_fract_x
_atom_site_fract_y
_atom_site_fract_z
_atom_site_occupancy
Cs1 Cs 0.181 0.000 0.182 1
In1 In 0.000 0.492 0.000 1
Ga1 Ga 0.000 0.638 0.500 1
# - calculated volume (Å³/cell) = 404
# - DOS at the Fermi energy (states/eV per atom) = 0.3231



Which structure is the most stable? The one labeled 2.